A plane-wave DFT calculation with GGA-PBE was carried out for a geometry-optimized SmPd7Pb2 structure.

Summary:
For the total energy, the calculation gives -4.9576 eV/atom. The formation energy comes out at -109 meV/atom. The crystal system is orthorhombic.

Unit cell a=7.9936 b=7.9936 c=4.4142 alpha=90.00 beta=90.00 gamma=124.79
With the nearest neighbours (Å) after each atom.
Element x y z (fractional)
Sm (0.0000, 0.0000, 0.0000)  10 Pd 2.78-2.97
Pd (0.0780, 0.2847, 0.5000)  5 Pd 2.69-2.93, 1 Pb 2.70, 2 Sm 2.97
Pd (0.1961, 0.8039, 0.0000)  2 Pb 2.69, 1 Sm 2.78, 4 Pd 2.90
Pd (0.2847, 0.0780, 0.5000)  5 Pd 2.69-2.93, 1 Pb 2.70, 2 Sm 2.97
Pd (0.5000, 0.5000, 0.5000)  2 Pb 2.77, 4 Pd 2.78
Pd (0.7153, 0.9220, 0.5000)  5 Pd 2.69-2.93, 1 Pb 2.70, 2 Sm 2.97
Pd (0.8039, 0.1961, 0.0000)  2 Pb 2.69, 1 Sm 2.78, 4 Pd 2.90
Pd (0.9220, 0.7153, 0.5000)  5 Pd 2.69-2.93, 1 Pb 2.70, 2 Sm 2.97
Pb (0.3041, 0.6959, 0.5000)  5 Pd 2.69-2.77
Pb (0.6959, 0.3041, 0.5000)  5 Pd 2.69-2.77

***

A plane-wave DFT calculation with GGA-PBE was carried out for a geometry-optimized Li3AsCl structure.

Summary:
For the total energy, the calculation gives -3.2204 eV/atom. Its formation energy (no corrections) is -0.77 eV per atom. The crystal system is cubic.

Unit cell a=4.5211 b=4.5211 c=4.5211 alpha=90.00 beta=90.00 gamma=90.00
With the nearest neighbours (Å) after each atom.
Element x y z (fractional)
Li (0.0000, 0.0000, 0.5000)  2 Cl 2.26
Li (0.0000, 0.5000, 0.0000)  2 Cl 2.26
Li (0.5000, 0.0000, 0.0000)  2 Cl 2.26
As (0.5000, 0.5000, 0.5000)  12 Li 3.20
Cl (0.0000, 0.0000, 0.0000)  6 Li 2.26